Entry 1:
MgFeRe2 after structural relaxation, computed with PBE.

Unit cell a=3.7243 b=3.7243 c=8.3125 alpha=90.00 beta=90.00 gamma=90.00
With the nearest neighbours (Å) after each atom.
Element x y z (fractional)
1 Mg 0.0000 0.0000 0.0000  4 Fe 2.63, 8 Re 2.79
2 Mg 0.5000 0.5000 0.5000  4 Fe 2.63, 8 Re 2.79
3 Fe 0.0000 0.0000 0.5000  4 Mg 2.63, 8 Re 2.79
4 Fe 0.5000 0.5000 0.0000  4 Mg 2.63, 8 Re 2.79
5 Re 0.0000 0.5000 0.2500  4 Re 2.63, 4 Fe 2.79, 4 Mg 2.79
6 Re 0.0000 0.5000 0.7500  4 Re 2.63, 4 Fe 2.79, 4 Mg 2.79
7 Re 0.5000 0.0000 0.2500  4 Re 2.63, 4 Fe 2.79, 4 Mg 2.79
8 Re 0.5000 0.0000 0.7500  4 Re 2.63, 4 Fe 2.79, 4 Mg 2.79

Computed properties:
ΔH_f (0 K) (meV per atom): 331
SG: I4/mmm
Crystal system: tetragonal

=====

Entry 2:
MgFe2Re after structural relaxation, computed with PBE.

Unit cell a=5.3130 b=8.3223 c=2.5801 alpha=90.00 beta=104.48 gamma=90.00
With the nearest neighbours (Å) after each atom.
Element x y z (fractional)
1 Mg 0.0000 0.0000 0.0000  2 Mg 2.58, 4 Fe 2.63, 2 Re 2.66
2 Mg 0.5000 0.5000 0.0000  2 Mg 2.58, 4 Fe 2.63, 2 Re 2.66
3 Fe 0.2500 0.2500 0.5000  4 Fe 2.58-2.66, 2 Re 2.63, 2 Mg 2.63
4 Fe 0.2500 0.7500 0.5000  4 Fe 2.58-2.66, 2 Re 2.63, 2 Mg 2.63
5 Fe 0.7500 0.2500 0.5000  4 Fe 2.58-2.66, 2 Re 2.63, 2 Mg 2.63
6 Fe 0.7500 0.7500 0.5000  4 Fe 2.58-2.66, 2 Re 2.63, 2 Mg 2.63
7 Re 0.0000 0.5000 0.0000  2 Re 2.58, 4 Fe 2.63, 2 Mg 2.66
8 Re 0.5000 0.0000 0.0000  2 Re 2.58, 4 Fe 2.63, 2 Mg 2.66

Computed properties:
ΔH_f (0 K) (meV per atom): 264
SG: C2/m
Crystal system: monoclinic

=====

Entry 3:
MgFe2Re after structural relaxation, computed with PBE.

Unit cell a=3.1161 b=4.2606 c=8.4617 alpha=90.00 beta=90.00 gamma=90.00
With the nearest neighbours (Å) after each atom.
Element x y z (fractional)
1 Mg 0.0000 0.0000 0.0000  4 Mg 2.64, 4 Fe 2.70
2 Mg 0.5000 0.5000 0.0000  4 Mg 2.64, 4 Fe 2.70
3 Fe 0.0000 0.5000 0.2608  2 Re 2.55, 4 Fe 2.64, 2 Mg 2.70
4 Fe 0.0000 0.5000 0.7392  2 Re 2.55, 4 Fe 2.64, 2 Mg 2.70
5 Fe 0.5000 0.0000 0.2608  2 Re 2.55, 4 Fe 2.64, 2 Mg 2.70
6 Fe 0.5000 0.0000 0.7392  2 Re 2.55, 4 Fe 2.64, 2 Mg 2.70
7 Re 0.0000 0.0000 0.5000  4 Fe 2.55, 4 Re 2.64
8 Re 0.5000 0.5000 0.5000  4 Fe 2.55, 4 Re 2.64

Computed properties:
ΔH_f (0 K) (meV per atom): 217
SG: Cmmm
Crystal system: orthorhombic

=====

Entry 4:
MgFeRe2 after structural relaxation, computed with PBE.

Unit cell a=7.2125 b=7.2125 c=4.9385 alpha=90.00 beta=90.00 gamma=90.00
With the nearest neighbours (Å) after each atom.
Element x y z (fractional)
1 Mg 0.0000 0.0000 0.0000  2 Fe 2.47
2 Mg 0.0000 0.5000 0.2500  2 Fe 2.47
3 Mg 0.5000 0.0000 0.7500  2 Fe 2.47
4 Mg 0.5000 0.5000 0.5000  2 Fe 2.47
5 Fe 0.0000 0.0000 0.5000  4 Re 2.33, 2 Mg 2.47
6 Fe 0.0000 0.5000 0.7500  4 Re 2.33, 2 Mg 2.47
7 Fe 0.5000 0.0000 0.2500  4 Re 2.33, 2 Mg 2.47
8 Fe 0.5000 0.5000 0.0000  4 Re 2.33, 2 Mg 2.47
9 Re 0.1862 0.2500 0.6250  2 Fe 2.33
10 Re 0.2500 0.6862 0.8750  2 Fe 2.33
11 Re 0.2500 0.8138 0.3750  2 Fe 2.33
12 Re 0.3138 0.2500 0.1250  2 Fe 2.33
13 Re 0.6862 0.7500 0.1250  2 Fe 2.33
14 Re 0.7500 0.1862 0.3750  2 Fe 2.33
15 Re 0.7500 0.3138 0.8750  2 Fe 2.33
16 Re 0.8138 0.7500 0.6250  2 Fe 2.33

Computed properties:
ΔH_f (0 K) (meV per atom): 734
SG: I-42d
Crystal system: tetragonal

=====

Entry 5:
MgFeRe2 after structural relaxation, computed with PBE.

Unit cell a=2.6880 b=2.6880 c=8.0475 alpha=90.00 beta=90.00 gamma=90.00
With the nearest neighbours (Å) after each atom.
Element x y z (fractional)
1 Mg 0.0000 0.0000 0.0000  4 Mg 2.69, 8 Re 2.94
2 Fe 0.0000 0.0000 0.5000  8 Re 2.60, 4 Fe 2.69
3 Re 0.5000 0.5000 0.2794  4 Fe 2.60, 4 Re 2.69
4 Re 0.5000 0.5000 0.7206  4 Fe 2.60, 4 Re 2.69

Computed properties:
ΔH_f (0 K) (meV per atom): 270
SG: P4/mmm
Crystal system: tetragonal

=====

Entry 6:
MgFeRe2 after structural relaxation, computed with PBE.

Unit cell a=3.1455 b=4.3841 c=8.3886 alpha=90.00 beta=90.00 gamma=90.00
With the nearest neighbours (Å) after each atom.
Element x y z (fractional)
1 Mg 0.0000 0.0000 0.0000  2 Fe 2.64, 8 Re 2.70-2.92
2 Mg 0.5000 0.5000 0.5000  2 Fe 2.64, 8 Re 2.70-2.92
3 Fe 0.0000 0.5000 0.2474  6 Re 2.54-2.70, 2 Mg 2.64
4 Fe 0.5000 0.0000 0.7474  6 Re 2.54-2.70, 2 Mg 2.64
5 Re 0.0000 0.0000 0.5102  2 Fe 2.54, 2 Re 2.56, 4 Mg 2.70
6 Re 0.0000 0.5000 0.7695  2 Re 2.56, 4 Fe 2.70, 2 Mg 2.75
7 Re 0.5000 0.0000 0.2695  2 Re 2.56, 4 Fe 2.70, 2 Mg 2.75
8 Re 0.5000 0.5000 0.0102  2 Fe 2.54, 2 Re 2.56, 4 Mg 2.70

Computed properties:
ΔH_f (0 K) (meV per atom): 283
SG: Imm2
Crystal system: orthorhombic

=====

Entry 7:
MgFe2Re after structural relaxation, computed with PBE.

Unit cell a=3.6844 b=3.6844 c=7.8109 alpha=90.00 beta=90.00 gamma=90.00
With the nearest neighbours (Å) after each atom.
Element x y z (fractional)
1 Mg 0.0000 0.0000 0.0000  8 Fe 2.61-2.68, 4 Re 2.68
2 Mg 0.5000 0.5000 0.5000  8 Fe 2.61-2.68, 4 Re 2.68
3 Fe 0.0000 0.0000 0.5000  4 Mg 2.61, 4 Fe 2.68, 4 Re 2.68
4 Fe 0.0000 0.5000 0.2500  4 Re 2.61, 4 Fe 2.68, 4 Mg 2.68
5 Fe 0.5000 0.0000 0.7500  4 Re 2.61, 4 Fe 2.68, 4 Mg 2.68
6 Fe 0.5000 0.5000 0.0000  4 Mg 2.61, 4 Fe 2.68, 4 Re 2.68
7 Re 0.0000 0.5000 0.7500  8 Fe 2.61-2.68, 4 Mg 2.68
8 Re 0.5000 0.0000 0.2500  8 Fe 2.61-2.68, 4 Mg 2.68

Computed properties:
ΔH_f (0 K) (meV per atom): 378
SG: I-4m2
Crystal system: tetragonal

=====

Entry 8:
MgFe2Re after structural relaxation, computed with PBE.

Unit cell a=2.7245 b=2.7245 c=7.3606 alpha=90.00 beta=90.00 gamma=90.00
With the nearest neighbours (Å) after each atom.
Element x y z (fractional)
1 Mg 0.0000 0.0000 0.0000  4 Mg 2.72, 8 Fe 2.75
2 Fe 0.5000 0.5000 0.2663  4 Re 2.58, 4 Fe 2.72, 4 Mg 2.75
3 Fe 0.5000 0.5000 0.7337  4 Re 2.58, 4 Fe 2.72, 4 Mg 2.75
4 Re 0.0000 0.0000 0.5000  8 Fe 2.58, 4 Re 2.72

Computed properties:
ΔH_f (0 K) (meV per atom): 197
SG: P4/mmm
Crystal system: tetragonal

=====

Entry 9:
MgFe2Re after structural relaxation, computed with PBE.

Unit cell a=5.9653 b=5.9653 c=5.9653 alpha=90.00 beta=90.00 gamma=90.00
With the nearest neighbours (Å) after each atom.
Element x y z (fractional)
1 Mg 0.0000 0.0000 0.0000  4 Re 2.58, 4 Fe 2.58
2 Mg 0.0000 0.5000 0.5000  4 Fe 2.58, 4 Re 2.58
3 Mg 0.5000 0.0000 0.5000  4 Fe 2.58, 4 Re 2.58
4 Mg 0.5000 0.5000 0.0000  4 Fe 2.58, 4 Re 2.58
5 Fe 0.0000 0.0000 0.5000  4 Fe 2.58, 4 Re 2.58
6 Fe 0.0000 0.5000 0.0000  4 Fe 2.58, 4 Re 2.58
7 Fe 0.2500 0.2500 0.7500  4 Fe 2.58, 4 Mg 2.58
8 Fe 0.2500 0.7500 0.2500  4 Fe 2.58, 4 Mg 2.58
9 Fe 0.5000 0.0000 0.0000  4 Fe 2.58, 4 Re 2.58
10 Fe 0.5000 0.5000 0.5000  4 Fe 2.58, 4 Re 2.58
11 Fe 0.7500 0.2500 0.2500  4 Fe 2.58, 4 Mg 2.58
12 Fe 0.7500 0.7500 0.7500  4 Fe 2.58, 4 Mg 2.58
13 Re 0.2500 0.2500 0.2500  4 Fe 2.58, 4 Mg 2.58
14 Re 0.2500 0.7500 0.7500  4 Fe 2.58, 4 Mg 2.58
15 Re 0.7500 0.2500 0.7500  4 Fe 2.58, 4 Mg 2.58
16 Re 0.7500 0.7500 0.2500  4 Fe 2.58, 4 Mg 2.58

Computed properties:
ΔH_f (0 K) (meV per atom): 381
SG: F-43m
Crystal system: cubic

=====

Entry 10:
MgFeRe2 after structural relaxation, computed with PBE.

Unit cell a=3.0793 b=3.0793 c=6.3732 alpha=90.00 beta=90.00 gamma=90.00
With the nearest neighbours (Å) after each atom.
Element x y z (fractional)
1 Mg 0.0000 0.0000 0.0000  8 Re 2.89, 4 Mg 3.08, 2 Fe 3.19
2 Fe 0.0000 0.0000 0.5000  8 Re 2.53
3 Re 0.5000 0.5000 0.2977  4 Fe 2.53, 1 Re 2.58
4 Re 0.5000 0.5000 0.7023  4 Fe 2.53, 1 Re 2.58

Computed properties:
ΔH_f (0 K) (meV per atom): 376
SG: P4/mmm
Crystal system: tetragonal

=====

| no. | relative energy among the computed polymorphs (meV per atom) |
| --- | --- |
| 1 | 125 |
| 2 | 67 |
| 3 | 20 |
| 4 | 528 |
| 5 | 64 |
| 6 | 77 |
| 7 | 181 |
| 8 | 0 |
| 9 | 184 |
| 10 | 170 |